Record 1
{
  "formula": "BeTlTc2",
  "functional": "PBE",
  "state": "optimized geometry",
  "cell": [[-2.089, -1.720, 3.487], [-3.897, 1.640, 1.268], [-3.683, -2.363, -0.579]],
  "species": ["Be", "Tl", "Tc", "Tc"],
  "frac_coords": [[0.000, 0.000, 0.000], [0.500, 0.500, 0.500], [0.250, 0.250, 0.250], [0.750, 0.750, 0.750]],
  "energy_ev_per_atom": -5.961,
  "de_polymorph_mev_per_atom": 547,
  "formation_enthalpy_0k_kj_per_mol_fu": 287.5,
  "mass_density_kg_m3": 11180,
  "magmom_total_mub_per_fu": 1.03
}

Record 2
{
  "formula": "BeTl2Tc",
  "functional": "PBE",
  "state": "optimized geometry",
  "cell": [[3.696, 0.000, 0.000], [0.000, 4.444, 0.000], [0.000, 0.000, 4.444]],
  "species": ["Be", "Tl", "Tl", "Tc"],
  "frac_coords": [[0.500, 0.500, 0.000], [0.000, 0.000, 0.000], [0.000, 0.500, 0.500], [0.500, 0.000, 0.500]],
  "energy_ev_per_atom": -3.842,
  "de_polymorph_mev_per_atom": 434,
  "formation_enthalpy_0k_kj_per_mol_fu": 333.5,
  "mass_density_kg_m3": 11735,
  "magmom_total_mub_per_fu": 0.71
}

Record 3
{
  "formula": "BeTlTc2",
  "functional": "PBE",
  "state": "optimized geometry",
  "cell": [[7.257, -0.008, -0.005], [6.560, 3.102, -0.005], [6.560, 1.469, 2.732]],
  "species": ["Be", "Tl", "Tc", "Tc"],
  "frac_coords": [[0.750, 0.750, 0.750], [0.250, 0.250, 0.250], [0.026, 0.026, 0.026], [0.474, 0.474, 0.474]],
  "energy_ev_per_atom": -6.190,
  "de_polymorph_mev_per_atom": 318,
  "formation_enthalpy_0k_kj_per_mol_fu": 199.2,
  "mass_density_kg_m3": 11009,
  "magmom_total_mub_per_fu": 0.00
}